Record 1
Compound: BeGa3Sb
Source: Alexandria
Functional: PBE
Structure: relaxed

The structure belongs to space group Pm-3m (No. 221); the cell edges are 5.3570, 5.3570 and 5.3570 Å and the angles 90.00°, 90.00° and 90.00°. Symmetry generates all atoms from Be at (0.0000, 0.0000, 0.0000), Ga at (0.0000, 0.5000, 0.5000) and Sb at (0.5000, 0.5000, 0.5000).

As for the uncorrected formation energy: 5.285 eV per formula unit. Its crystal system is cubic.



Record 2
Compound: BeGa2Sb
Source: Alexandria
Functional: PBE
Structure: relaxed

The structure belongs to space group I-42d (No. 122); the cell edges are 6.0198, 6.0198 and 10.5128 Å and the angles 90.00°, 90.00° and 90.00°. Symmetry generates all atoms from Be at (0.0000, 0.0000, 0.0000), Ga at (0.1946, 0.2500, 0.1250) and Sb at (0.0000, 0.0000, 0.5000).

The calculation puts the polymorph energy (0 for the lowest one) at 0 meV per atom. As for the uncorrected formation energy: 1.621 eV per formula unit. Its crystal system is tetragonal.



Record 3
Compound: Be2Ga2Sb
Source: Alexandria
Functional: PBE
Structure: relaxed

The structure belongs to space group P4/mbm (No. 127); the cell edges are 6.6415, 6.6415 and 3.7439 Å and the angles 90.00°, 90.00° and 90.00°. Symmetry generates all atoms from Be at (0.1153, 0.3847, 0.0000), Ga at (0.1570, 0.6570, 0.5000) and Sb at (0.0000, 0.0000, 0.0000).

As for the uncorrected formation energy: 1.735 eV per formula unit. Its crystal system is tetragonal.



Record 4
Compound: Be4Ga2Sb
Source: Alexandria
Functional: PBE
Structure: relaxed

The structure belongs to space group I4/mmm (No. 139); the cell edges are 4.9363, 4.9363 and 11.2761 Å and the angles 90.00°, 90.00° and 90.00°. Symmetry generates all atoms from Be at (0.0000, 0.0000, 0.2054), Be at (0.0000, 0.5000, 0.0000), Ga at (0.0000, 0.0000, 0.3954) and Sb at (0.0000, 0.0000, 0.0000).

As for the uncorrected formation energy: 6.842 eV per formula unit. Its crystal system is tetragonal.